No. 1
The following is a DFT calculation (PBE) of a relaxed Ti2Zn4Au crystal.

a b c (Å): 5.3656 4.9097 8.7339
angles (deg): 90.00 106.08 90.00
Space group P2_1/m (No. 11)
One atom of each set of equivalent atoms:
Ti: 0.0815 0.2500 0.4305
Ti: 0.3401 0.7500 0.9889
Zn: 0.1918 0.2500 0.1172
Zn: 0.3619 0.7500 0.4602
Zn: 0.3990 0.0020 0.7196
Au: 0.0115 0.2500 0.8041

Values from the calculation:
Excess energy over the best structure of this formula in the dataset (meV/atom): 0
Energy of formation (eV/f.u.): -1.014
Crystal system: monoclinic

=====

No. 2
The following is a DFT calculation (PBE) of a relaxed HfZr3Hg2 crystal.

a b c (Å): 3.2003 3.2003 12.9672
angles (deg): 90.00 90.00 90.00
Space group P4/mmm (No. 123)
One atom of each set of equivalent atoms:
Hf: 0.0000 0.0000 0.0000
Zr: 0.5000 0.5000 0.1686
Zr: 0.5000 0.5000 0.5000
Hg: 0.0000 0.0000 0.3375

Values from the calculation:
Energy of formation (eV/f.u.): -0.882
Crystal system: tetragonal

=====

No. 3
The following is a DFT calculation (PBE) of a relaxed TbEuPdRh crystal.

a b c (Å): 7.0358 7.0358 7.0358
angles (deg): 90.00 90.00 90.00
Space group F-43m (No. 216)
One atom of each set of equivalent atoms:
Tb: 0.0000 0.0000 0.0000
Eu: 0.0000 0.0000 0.5000
Pd: 0.2500 0.2500 0.2500
Rh: 0.2500 0.2500 0.7500

Values from the calculation:
Energy of formation (eV/f.u.): -2.646
Crystal system: cubic

=====

No. 4
The following is a DFT calculation (PBE) of a relaxed Zr3HgGe crystal.

a b c (Å): 5.0174 5.0174 5.0174
angles (deg): 90.00 90.00 90.00
Space group Pm-3m (No. 221)
One atom of each set of equivalent atoms:
Zr: 0.0000 0.0000 0.5000
Hg: 0.5000 0.5000 0.5000
Ge: 0.0000 0.0000 0.0000

Values from the calculation:
Excess energy over the best structure of this formula in the dataset (meV/atom): 0
Energy of formation (eV/f.u.): 0.769
Crystal system: cubic

=====

No. 5
The following is a DFT calculation (PBE) of a relaxed CaB4S7 crystal.

a b c (Å): 13.2113 5.4891 5.2862
angles (deg): 90.00 90.00 90.00
Space group Pmn2_1 (No. 31)
One atom of each set of equivalent atoms:
Ca: 0.0000 0.1543 0.0000
B: 0.1229 0.6695 0.6402
B: 0.2475 0.1738 0.6231
S: 0.0000 0.8232 0.5248
S: 0.1235 0.3332 0.5457
S: 0.1255 0.7141 0.0012
S: 0.2401 0.8387 0.5010

Values from the calculation:
Uncorrected formation energy (eV/atom): -0.67
Crystal system: orthorhombic

=====

No. 6
The following is a DFT calculation (PBE) of a relaxed SnGeS crystal.

a b c (Å): 3.3540 3.3540 13.7988
angles (deg): 90.00 90.00 90.00
Space group I4mm (No. 107)
One atom of each set of equivalent atoms:
Sn: 0.0000 0.0000 0.0000
Ge: 0.0000 0.0000 0.2207
S: 0.0000 0.0000 0.3923

Values from the calculation:
Excess energy over the best structure of this formula in the dataset (meV/atom): 316
Uncorrected formation energy (eV/atom): 0.18
Crystal system: tetragonal

=====

No. 7
The following is a DFT calculation (PBE) of a relaxed CeTh4 crystal.

a b c (Å): 5.6230 5.6230 5.6230
angles (deg): 90.00 90.00 90.00
Space group Pm-3m (No. 221)
One atom of each set of equivalent atoms:
Ce: 0.0000 0.0000 0.0000
Th: 0.0000 0.0000 0.5000
Th: 0.5000 0.5000 0.5000

Values from the calculation:
Excess energy over the best structure of this formula in the dataset (meV/atom): 708
Energy of formation (eV/f.u.): 3.592
Crystal system: cubic

=====

No. 8
The following is a DFT calculation (PBE) of a relaxed DyY5Rh6 crystal.

a b c (Å): 4.8472 6.8991 7.6676
angles (deg): 90.00 108.37 90.00
Space group P2/m (No. 10)
One atom of each set of equivalent atoms:
Dy: 0.0000 0.0000 0.0000
Y: 0.0000 0.5000 0.0000
Y: 0.3333 0.0000 0.6666
Y: 0.3332 0.5000 0.6665
Rh: 0.1662 0.2494 0.3324
Rh: 0.5000 0.2486 0.0000

Values from the calculation:
Energy of formation (eV/f.u.): -10.175
Crystal system: monoclinic

=====

So what do the calculations give for total moment? Going down the list: 4.19, 0.00, 27.41, 0.00, 0.00, 0.00, 0.00, 0.00 Bohr magnetons per cell.